A relaxed structure of MnAgS2, computed with GGA-PBE.

Unit cell a=4.0266 b=4.0266 c=5.8415 alpha=90.00 beta=90.00 gamma=120.00
Positions (direct):
Mn 0.0000 0.0000 0.0000
Ag 0.6667 0.3333 0.5309
S 0.0000 0.0000 0.3798
S 0.3333 0.6667 0.9010

Properties
- DOS at the Fermi energy: 0.4605 states/eV/atom
- Energy relative to the elements, uncorrected: -0.198 eV/atom
- SG: No. 156
- V: 82.0 Å³/cell



A relaxed structure of Mn2AgS4, computed with GGA-PBE.

Unit cell a=5.8039 b=3.3566 c=6.9431 alpha=90.00 beta=100.98 gamma=90.00
Positions (direct):
Mn 0.0000 0.0000 0.0000
Mn 0.5000 0.5000 0.0000
Ag 0.0000 0.0000 0.5000
S 0.2093 0.5000 0.1946
S 0.2910 0.0000 0.8094
S 0.7090 0.0000 0.1906
S 0.7907 0.5000 0.8054

Properties
- DOS at the Fermi energy: 0.5124 states/eV/atom
- Energy relative to the elements, uncorrected: -0.439 eV/atom
- SG: No. 10
- Offset from the most stable computed form: 17 meV/atom
- V: 132.8 Å³/cell